1.
Al3Cl (PBE-GGA, optimized geometry); formation energy without anion corrections = 0.120 eV per formula unit; E_tot = -3.2385 eV/atom
1.0
-2.8465 -3.5132 -1.8769
2.4216 -1.4732 -0.9150
1.1279 -3.1143 4.1187
Cl Al
1 3
Direct
0.5000 0.2500 0.2500
0.5000 0.7500 0.7500
0.0000 0.4210 0.4915
0.0000 0.0790 0.0085

2.
AlCl3 (PBE-GGA, optimized geometry); formation energy without anion corrections = -0.898 eV per formula unit; E_tot = -2.5452 eV/atom
1.0
-3.1062 -4.1910 -0.5897
4.5825 0.7435 -2.4513
2.3838 -2.2959 3.7600
Cl Al
3 1
Direct
0.5000 0.0000 0.5000
0.0000 0.5000 0.5000
0.5000 0.5000 0.0000
0.0000 0.0000 0.0000

3.
AlCl5 (PBE-GGA, optimized geometry); formation energy without anion corrections = 3.184 eV per formula unit; E_tot = -1.6319 eV/atom
1.0
0.0000 4.1144 4.1144
4.1144 0.0000 4.1144
4.1144 4.1144 0.0000
Cl Al
5 1
Direct
0.6245 0.6245 0.6245
0.6245 0.6245 0.1265
0.6245 0.1265 0.6245
0.1265 0.6245 0.6245
0.2500 0.2500 0.2500
0.0000 0.0000 0.0000

4.
AlCl2 (PBE-GGA, optimized geometry); formation energy without anion corrections = -2.578 eV per formula unit; E_tot = -3.3380 eV/atom
1.0
-2.1862 -2.8388 -0.4435
8.7172 -5.6536 -6.7834
2.5632 -2.8611 5.6785
Al Cl
4 8
Direct
0.2500 0.1347 0.0401
0.7500 0.8653 0.9599
0.7500 0.3653 0.5401
0.2500 0.6347 0.4599
0.2500 0.9978 0.7939
0.2500 0.7599 0.1288
0.7500 0.7401 0.6288
0.7500 0.5022 0.2939
0.2500 0.4978 0.7061
0.7500 0.0022 0.2061
0.2500 0.2599 0.3712
0.7500 0.2401 0.8712

5.
AlCl2 (PBE-GGA, optimized geometry); formation energy without anion corrections = -2.354 eV per formula unit; E_tot = -3.2633 eV/atom
1.0
3.8380 0.0000 0.0000
-1.9190 3.3238 0.0000
0.0000 0.0000 6.5855
Al Cl
1 2
Direct
0.0000 0.0000 0.0000
0.3333 0.6667 0.7928
0.6667 0.3333 0.2072

6.
AlCl3 (PBE-GGA, optimized geometry); formation energy without anion corrections = -5.581 eV per formula unit; E_tot = -3.7158 eV/atom
1.0
3.3915 0.0000 0.0000
0.0000 7.1168 0.3882
0.0000 5.2979 4.7703
Al Cl
1 3
Direct
0.0000 0.0000 0.0000
0.5000 0.8806 0.8803
0.5000 0.1194 0.1197
0.0000 0.5000 0.5000

7.
Al4CoCl (PBE-GGA, optimized geometry); formation energy without anion corrections = 2.351 eV per formula unit; E_tot = -3.5954 eV/atom
1.0
0.0000 3.7451 3.7451
3.7451 0.0000 3.7451
3.7451 3.7451 0.0000
Al Co Cl
4 1 1
Direct
0.3736 0.3736 0.3736
0.8791 0.3736 0.3736
0.3736 0.8791 0.3736
0.3736 0.3736 0.8791
0.0000 0.0000 0.0000
0.7500 0.7500 0.7500

8.
Al2CoCl (PBE-GGA, optimized geometry); formation energy without anion corrections = 0.707 eV per formula unit; E_tot = -3.9327 eV/atom
1.0
-0.6792 4.1947 -2.8642
2.3613 -1.0941 -4.4145
-3.9104 -1.0727 3.1335
Co Al Cl
1 2 1
Direct
0.2500 0.7500 0.5000
0.4845 0.4845 0.0000
0.0155 0.0155 0.0000
0.7500 0.2500 0.5000